# 1
Compound: PaAl4Pt2
Source: Alexandria via LeMat-Bulk
Functional: PBE-GGA
Structure: relaxed

Properties
The calculation puts the formation enthalpy at 0 K at -0.77 eV/atom. Its excess energy over the best structure of this formula in the dataset is 102 meV per atom. The total magnetization comes out at 0.000 μB per atom. The symmetry is P4_2/mnm (136).

Cell lengths 4.1265, 7.7567, 7.7567 Å; angles 90.00, 90.00, 90.00 degrees
Atoms (fractional coordinates):
Pa 0.5000 0.0000 0.0000
Pa 0.0000 0.5000 0.5000
Al 0.0000 0.0855 0.3328
Al 0.0000 0.9145 0.6672
Al 0.5000 0.1672 0.5855
Al 0.5000 0.8328 0.4145
Al 0.5000 0.4145 0.8328
Al 0.5000 0.5855 0.1672
Al 0.0000 0.3328 0.0855
Al 0.0000 0.6672 0.9145
Pt 0.0000 0.2142 0.7858
Pt 0.0000 0.7858 0.2142
Pt 0.5000 0.7142 0.7142
Pt 0.5000 0.2858 0.2858



# 2
Compound: NaCu2S
Source: Alexandria via LeMat-Bulk
Functional: PBE-GGA
Structure: relaxed

Properties
For the uncorrected formation energy, the calculation gives -64 meV/atom. The total magnetization comes out at 0.000 μB per atom. The symmetry is I4_1/amd (141).

Cell lengths 4.8005, 4.8005, 8.2960 Å; angles 73.18, 73.18, 90.00 degrees
Atoms (fractional coordinates):
Na 0.5000 0.5000 0.0000
Na 0.2500 0.7500 0.5000
S 0.0000 0.0000 0.0000
S 0.7500 0.2500 0.5000
Cu 0.8748 0.1250 0.2500
Cu 0.8752 0.6250 0.2500
Cu 0.3750 0.1252 0.7500
Cu 0.8750 0.1248 0.7500



# 3
Compound: CeTm2RhN4
Source: Alexandria via LeMat-Bulk
Functional: PBE-GGA
Structure: relaxed

Properties
For the uncorrected formation energy, the calculation gives -1106 meV/atom. The total magnetization comes out at 0.000 μB per atom. The symmetry is Cmcm (63).

Cell lengths 3.3537, 6.0223, 11.4381 Å; angles 90.00, 90.00, 106.17 degrees
Atoms (fractional coordinates):
Ce 0.1161 0.2321 0.7500
Ce 0.8839 0.7679 0.2500
Tm 0.3713 0.7426 0.5473
Tm 0.6287 0.2574 0.0473
Tm 0.6287 0.2574 0.4527
Tm 0.3713 0.7426 0.9527
Rh 0.8551 0.7102 0.7500
Rh 0.1449 0.2898 0.2500
N 0.2750 0.5501 0.1270
N 0.7250 0.4499 0.6270
N 0.7250 0.4499 0.8730
N 0.2750 0.5501 0.3730
N 0.0000 0.0000 0.5000
N 0.0000 0.0000 0.0000
N 0.4607 0.9215 0.7500
N 0.5393 0.0785 0.2500



# 4
Compound: MgTa2FePb
Source: Alexandria via LeMat-Bulk
Functional: PBE-GGA
Structure: relaxed

Properties
The calculation puts the formation enthalpy at 0 K at 2.45 eV/atom. The total magnetization comes out at 0.035 μB per atom. The symmetry is P4/mmm (123).

Cell lengths 5.1815, 4.8596, 5.1815 Å; angles 90.00, 90.00, 90.00 degrees
Last column: magnetic moment on the atom in μB.
Atoms (fractional coordinates):
Pb 0.0000 0.0000 0.0000  0.00
Mg 0.0000 0.5000 0.0000  0.00
Fe 0.5000 0.5000 0.5000  -0.10
Ta 0.0000 0.0000 0.5000  -0.06
Ta 0.5000 0.0000 0.0000  0.00